# BaSbTeI2

A PBEsol-optimized structure of BaSbTeI2 (SCAN, Alexandria via LeMat-Bulk).

Output
DOS(E_F)	0.622	states/eV/atom
density	5220	kg/m³
uncorrected formation energy	-447	meV/atom
relative energy among the computed polymorphs	1.579	eV per formula unit
electronic total energy	-37.956	eV per atom

Lattice parameters (Å, degrees): 5.8846 5.8846 5.8840 90.00 90.00 90.00
Last column: nearest neighbours and their distance in Å.
Space group P4/mmm (No. 123)
One atom of each set of equivalent atoms:
Ba (0.0000, 0.0000, 0.0000) [1 per cell]  8 I 4.16, 4 Sb 4.16
Sb (0.5000, 0.5000, 0.0000) [1 per cell]  2 Te 2.94
Te (0.5000, 0.5000, 0.5000) [1 per cell]  2 Sb 2.94, 4 I 2.94
I (0.0000, 0.5000, 0.5000) [2 per cell]  2 Te 2.94


# CaCoRe2Mo

A PBEsol-optimized structure of CaCoRe2Mo (SCAN, Alexandria via LeMat-Bulk).

Output
DOS(E_F)	0.775	states/eV/atom
ΔE_f	2.051	eV/atom
density	8752	kg/m³
electronic total energy	-38.758	eV per atom

Lattice parameters (Å, degrees): 4.6230 4.6230 5.0366 90.00 90.00 90.00
Last column: nearest neighbours and their distance in Å.
Space group P4/mmm (No. 123)
One atom of each set of equivalent atoms:
Ca (0.0000, 0.0000, 0.0000) [1 per cell]  2 Mo 2.52
Co (0.5000, 0.5000, 0.0000) [1 per cell]  4 Ca 3.27, 8 Re 3.42
Re (0.0000, 0.5000, 0.5000) [2 per cell]  2 Mo 2.31
Mo (0.0000, 0.0000, 0.5000) [1 per cell]  4 Re 2.31, 2 Ca 2.52


# TbZn3

A PBEsol-optimized structure of TbZn3 (SCAN, Alexandria via LeMat-Bulk).

Output
DOS(E_F)	0.486	states/eV/atom
ΔE_f	-0.439	eV/atom
density	8389	kg/m³
electronic total energy	-22.266	eV per atom

Lattice parameters (Å, degrees): 6.5765 4.3278 9.8793 90.00 90.00 90.00
Last column: nearest neighbours and their distance in Å.
Space group Pnma (No. 62)
One atom of each set of equivalent atoms:
Tb (0.2213, 0.2500, 0.1604) [4 per cell]  12 Zn 2.94-3.17
Zn (0.0364, 0.7500, 0.3950) [4 per cell]  5 Zn 2.54-2.76
Zn (0.0821, 0.2500, 0.8532) [4 per cell]  5 Zn 2.54-2.74
Zn (0.2195, 0.7500, 0.9557) [4 per cell]  6 Zn 2.55-2.76


# Ta3TiAg

A PBEsol-optimized structure of Ta3TiAg (SCAN, Alexandria via LeMat-Bulk).

Output
DOS(E_F)	1.312	states/eV/atom
ΔE_f	1.972	eV/atom
density	10385	kg/m³
electronic total energy	-47.458	eV per atom

Lattice parameters (Å, degrees): 4.8161 4.8161 4.8161 90.00 90.00 90.00
Last column: nearest neighbours and their distance in Å.
Space group Pm-3m (No. 221)
One atom of each set of equivalent atoms:
Ta (0.0000, 0.0000, 0.5000) [3 per cell]  2 Ag 2.41
Ti (0.5000, 0.5000, 0.5000) [1 per cell]  12 Ta 3.41
Ag (0.0000, 0.0000, 0.0000) [1 per cell]  6 Ta 2.41